First-principles (GGA-PBEsol) data for crystalline Rb2Na2N at its relaxed geometry, as listed in Alexandria via LeMat-Bulk.

```
Rb2Na2N
1.0
-2.035 2.035 11.161
2.035 -2.035 11.161
2.035 2.035 -11.161
Rb Na N
2 2 1
direct
0.072 0.072 0.000
0.928 0.928 0.000
0.250 0.750 0.500
0.750 0.250 0.500
0.500 0.500 0.000
```

Output
crystal system = tetragonal
formation energy (no corrections) = 3.27 eV/f.u.


First-principles (GGA-PBEsol) data for crystalline RbNa3N at its relaxed geometry, as listed in Alexandria via LeMat-Bulk.

```
RbNa3N
1.0
5.079 0.000 0.000
0.000 5.079 0.000
0.000 0.000 5.079
Rb Na N
1 3 1
direct
0.000 0.000 0.000
0.000 0.500 0.500
0.500 0.000 0.500
0.500 0.500 0.000
0.500 0.500 0.500
```

Output
crystal system = cubic
formation energy (no corrections) = 1.60 eV/f.u.


First-principles (GGA-PBEsol) data for crystalline RbNa2N at its relaxed geometry, as listed in Alexandria via LeMat-Bulk.

```
RbNa2N
1.0
-3.545 3.545 5.410
3.545 -3.545 5.410
3.545 3.545 -5.410
Rb Na N
2 4 2
direct
0.375 0.625 0.750
0.625 0.375 0.250
0.000 0.000 0.000
0.000 0.000 0.500
0.000 0.500 0.000
0.500 0.000 0.500
0.125 0.875 0.250
0.875 0.125 0.750
```

Output
crystal system = tetragonal
formation energy (no corrections) = 1.70 eV/f.u.


First-principles (GGA-PBEsol) data for crystalline Na3ReN at its relaxed geometry, as listed in Alexandria via LeMat-Bulk.

```
Na3ReN
1.0
4.701 0.000 0.000
0.000 4.701 0.000
0.000 0.000 4.701
Na Re N
3 1 1
direct
0.000 0.000 0.500
0.000 0.500 0.000
0.500 0.000 0.000
0.500 0.500 0.500
0.000 0.000 0.000
```

Output
crystal system = cubic
formation energy (no corrections) = 7.69 eV/f.u.


First-principles (GGA-PBEsol) data for crystalline NaReN2 at its relaxed geometry, as listed in Alexandria via LeMat-Bulk.

```
NaReN2
1.0
-2.526 2.526 4.733
2.526 -2.526 4.733
2.526 2.526 -4.733
Na Re N
2 2 4
direct
0.000 0.000 0.000
0.750 0.250 0.500
0.250 0.750 0.500
0.500 0.500 0.000
0.231 0.625 0.106
0.375 0.481 0.606
0.519 0.125 0.894
0.875 0.769 0.394
```

Output
crystal system = tetragonal
formation energy (no corrections) = -0.68 eV/f.u.


First-principles (GGA-PBEsol) data for crystalline Na6ReN4 at its relaxed geometry, as listed in Alexandria via LeMat-Bulk.

```
Na6ReN4
1.0
7.577 0.000 0.000
0.000 7.577 0.000
0.000 0.000 5.903
Na Re N
12 2 8
direct
0.043 0.543 0.250
0.043 0.957 0.250
0.250 0.250 0.062
0.250 0.250 0.562
0.457 0.543 0.250
0.457 0.957 0.250
0.543 0.043 0.750
0.543 0.457 0.750
0.750 0.750 0.438
0.750 0.750 0.938
0.957 0.043 0.750
0.957 0.457 0.750
0.250 0.750 0.750
0.750 0.250 0.250
0.044 0.750 0.579
0.250 0.544 0.921
0.250 0.956 0.921
0.456 0.750 0.579
0.544 0.250 0.421
0.750 0.044 0.079
0.750 0.456 0.079
0.956 0.250 0.421
```

Output
crystal system = tetragonal
formation energy (no corrections) = -2.19 eV/f.u.


First-principles (GGA-PBEsol) data for crystalline Na3Re2N5 at its relaxed geometry, as listed in Alexandria via LeMat-Bulk.

```
Na3Re2N5
1.0
-6.226 6.226 4.285
6.226 -6.226 4.285
6.226 6.226 -4.285
Na Re N
12 8 20
direct
0.000 0.000 0.000
0.052 0.929 0.680
0.123 0.302 0.623
0.176 0.676 0.500
0.250 0.373 0.320
0.426 0.426 0.000
0.435 0.815 0.232
0.565 0.832 0.879
0.582 0.203 0.768
0.679 0.500 0.377
0.750 0.250 0.500
0.953 0.685 0.121
0.311 0.091 0.442
0.364 0.072 0.118
0.619 0.561 0.720
0.649 0.869 0.558
0.822 0.204 0.208
0.841 0.899 0.280
0.954 0.246 0.882
0.996 0.614 0.792
0.018 0.446 0.817
0.087 0.191 0.847
0.099 0.059 0.340
0.196 0.879 0.928
0.272 0.978 0.568
0.309 0.967 0.263
0.344 0.240 0.153
0.411 0.704 0.432
0.454 0.522 0.794
0.508 0.349 0.540
0.629 0.201 0.183
0.704 0.046 0.737
0.717 0.954 0.158
0.719 0.758 0.660
0.728 0.661 0.206
0.796 0.559 0.842
0.809 0.969 0.460
0.941 0.594 0.604
0.951 0.268 0.072
0.990 0.337 0.396
```

Output
crystal system = tetragonal
formation energy (no corrections) = -2.16 eV/f.u.


First-principles (GGA-PBEsol) data for crystalline NaRhSeN2 at its relaxed geometry, as listed in Alexandria via LeMat-Bulk.

```
NaRhSeN2
1.0
3.791 0.000 0.000
0.000 3.791 0.000
0.000 0.000 5.346
Na Rh Se N
1 1 1 2
direct
0.000 0.000 0.000
0.500 0.500 0.500
0.500 0.500 0.000
0.000 0.500 0.500
0.500 0.000 0.500
```

Output
crystal system = tetragonal
formation energy (no corrections) = 2.94 eV/f.u.